Record 1
Material: SiTeAsRu2
Method: DFT, GGA-PBE
State: relaxed

SG: P4/mmm (123)
Formation energy (no corrections), eV/atom: 1.24
Polymorph energy (0 for the lowest one), meV per atom: 0

```
5
Lattice="4.558 0.000 0.000 0.000 4.558 0.000 0.000 0.000 5.546" Properties=species:S:1:pos:R:3 pbc="T T T"
Ru 0.000 2.279 0.000
Ru 2.279 0.000 0.000
As 0.000 0.000 0.000
Te 0.000 0.000 2.773
Si 2.279 2.279 2.773
```

=====

Record 2
Material: Sm8AsRu2
Method: DFT, GGA-PBE
State: relaxed

DFT formation energy, eV/atom: -0.27
SG: C2/m (12)

```
11
Lattice="6.043 0.052 0.078 -0.939 7.559 -0.128 -0.939 -3.030 6.926" Properties=species:S:1:pos:R:3 pbc="T T T"
Sm 3.804 5.082 4.557
Sm 3.804 2.248 6.445
Sm 0.561 2.883 4.327
Sm 2.082 5.089 1.573
Sm 2.082 -0.508 5.302
Sm 3.603 1.698 2.549
Sm 0.361 2.333 0.431
Sm 0.361 -0.501 2.319
As 3.022 0.026 0.039
Ru -0.939 0.289 4.716
Ru -0.939 4.241 2.083
```

=====

Number 1: total moment 0.3914 μB/atom, VASP energy -5.110 eV/atom. Number 2: total moment 0.0000 μB/atom, VASP energy -5.810 eV/atom.